Record 1
Here is an optimized crystal structure of TaCu2Pt from the Alexandria database. Energies are from PBE.

```
data_TaCu2Pt
_cell_length_a 2.8138
_cell_length_b 2.8138
_cell_length_c 25.9724
_cell_angle_alpha 90.00
_cell_angle_beta 90.00
_cell_angle_gamma 120.00
_space_group_name_H-M_alt 'R 3 m'
_space_group_IT_number 160
_space_group_name_Hall 'R 3 -2"'
loop_
_atom_site_label
_atom_site_type_symbol
_atom_site_fract_x
_atom_site_fract_y
_atom_site_fract_z
_atom_site_occupancy
Ta1 Ta 0.0000 0.0000 0.0000 1
Cu1 Cu 0.0000 0.0000 0.2464 1
Cu2 Cu 0.0000 0.0000 0.5050 1
Pt1 Pt 0.0000 0.0000 0.7545 1
```

Calculated values
* calculated formation energy: -64 meV/atom
* uncorrected energy: -6.59 eV/atom
* excess energy over the best structure of this formula in the dataset: 0.65 eV per formula unit

Record 2
Here is an optimized crystal structure of Ac2Al4Pd3Pb from the Alexandria database. Energies are from PBE.

```
data_Ac2Al4Pd3Pb
_cell_length_a 4.528
_cell_length_b 4.528
_cell_length_c 10.832
_cell_angle_alpha 90.00
_cell_angle_beta 90.00
_cell_angle_gamma 90.00
_space_group_name_H-M_alt 'P -4 m 2'
_space_group_IT_number 115
_space_group_name_Hall 'P -4 -2'
loop_
_atom_site_label
_atom_site_type_symbol
_atom_site_fract_x
_atom_site_fract_y
_atom_site_fract_z
_atom_site_occupancy
Ac1 Ac 0.000 0.500 0.240 1
Al1 Al 0.000 0.000 0.000 1
Al2 Al 0.000 0.500 0.651 1
Al3 Al 0.500 0.500 0.000 1
Pd1 Pd 0.000 0.500 0.882 1
Pd2 Pd 0.500 0.500 0.500 1
Pb1 Pb 0.000 0.000 0.500 1
```

Calculated values
* calculated formation energy: -670 meV/atom
* uncorrected energy: -4.92 eV/atom

Record 3
Here is an optimized crystal structure of Cs2RbTeI from the Alexandria database. Energies are from PBE.

```
data_Cs2RbTeI
_cell_length_a 7.302
_cell_length_b 7.302
_cell_length_c 6.890
_cell_angle_alpha 90.00
_cell_angle_beta 90.00
_cell_angle_gamma 90.00
_space_group_name_H-M_alt 'P 4/m m m'
_space_group_IT_number 123
_space_group_name_Hall '-P 4 2'
loop_
_atom_site_label
_atom_site_type_symbol
_atom_site_fract_x
_atom_site_fract_y
_atom_site_fract_z
_atom_site_occupancy
Cs1 Cs 0.000 0.500 0.000 1
Rb1 Rb 0.000 0.000 0.500 1
Te1 Te 0.000 0.000 0.000 1
I1 I 0.500 0.500 0.500 1
```

Calculated values
* uncorrected energy: -2.53 eV/atom
* E_form (uncorrected): -1.057 eV/atom